No. 1
Material: LaCr2Br2
Method: DFT, GGA-PBE
State: optimized geometry

abc: 4.686 4.686 10.053
angles: 90.00 90.00 90.00
Space group I4/mmm (No. 139)
Symmetry-distinct sites (fractional):
1 La 0.000 0.000 0.000 (multiplicity 2)
2 Cr 0.000 0.000 0.410 (multiplicity 4)
3 Br 0.000 0.500 0.250 (multiplicity 4)

Results
**Raw total energy**: -55.2 eV for the cell shown
**DOS at the Fermi energy**: 5.698 states/eV/cell
**Polymorph energy (0 for the lowest one)**: 0 meV/atom

***

No. 2
Material: LaCrBr
Method: DFT, GGA-PBE
State: optimized geometry

abc: 4.9168 4.9168 3.6052
angles: 90.00 90.00 120.00
Space group P-6m2 (No. 187)
Symmetry-distinct sites (fractional):
1 La 0.0000 0.0000 0.0000 (multiplicity 1)
2 Cr 0.6667 0.3333 0.5000 (multiplicity 1)
3 Br 0.3333 0.6667 0.5000 (multiplicity 1)

Results
**Raw total energy**: -16.4 eV for the cell shown
**DOS at the Fermi energy**: 2.140 states/eV/cell
**Polymorph energy (0 for the lowest one)**: 52 meV/atom

***

No. 3
Material: LaCrBr
Method: DFT, GGA-PBE
State: optimized geometry

abc: 7.393 7.393 7.393
angles: 90.00 90.00 90.00
Space group F-43m (No. 216)
Symmetry-distinct sites (fractional):
1 La 0.000 0.000 0.000 (multiplicity 4)
2 Cr 0.250 0.250 0.750 (multiplicity 4)
3 Br 0.250 0.250 0.250 (multiplicity 4)

Results
**Raw total energy**: -62.1 eV for the cell shown
**DOS at the Fermi energy**: 11.577 states/eV/cell
**Polymorph energy (0 for the lowest one)**: 345 meV/atom

***

No. 4
Material: LaCrBr
Method: DFT, GGA-PBE
State: optimized geometry

abc: 4.886 5.414 12.507
angles: 90.00 90.00 90.00
Space group Fmm2 (No. 42)
Symmetry-distinct sites (fractional):
1 La 0.000 0.000 0.000 (multiplicity 4)
2 Cr 0.000 0.000 0.659 (multiplicity 4)
3 Br 0.000 0.000 0.332 (multiplicity 4)

Results
**Raw total energy**: -66.2 eV for the cell shown
**DOS at the Fermi energy**: 4.078 states/eV/cell
**Polymorph energy (0 for the lowest one)**: 0 meV/atom

***

- The highest polymorph energy (0 for the lowest one) belongs to which entry?
  number 3